The following is a DFT calculation (GGA-PBEsol) of crystalline Hf8Mo5S at its relaxed geometry.

The structure in extended XYZ format:
```
28
Lattice="8.359 0.000 0.000 0.000 4.493 6.966 0.000 -4.493 6.966" Properties=species:S:1:pos:R:3 pbc="T T T"
Hf 0.000 -2.881 5.293
Hf 0.000 0.000 0.898
Hf 0.000 2.881 5.293
Hf 1.630 0.000 5.555
Hf 1.705 -1.889 2.939
Hf 1.705 1.889 2.939
Hf 2.578 -2.572 6.966
Hf 2.578 2.572 6.966
Hf 2.595 0.000 11.288
Hf 4.179 0.000 2.248
Hf 5.764 0.000 11.288
Hf 5.780 -2.572 6.966
Hf 5.780 2.572 6.966
Hf 6.653 -1.889 2.939
Hf 6.653 1.889 2.939
Hf 6.729 0.000 5.555
Mo 0.000 -1.471 7.653
Mo 0.000 1.471 7.653
Mo 0.000 0.000 9.980
Mo 2.120 0.000 8.423
Mo 4.179 -1.506 4.560
Mo 4.179 0.000 6.738
Mo 4.179 1.506 4.560
Mo 4.179 -1.451 9.229
Mo 4.179 1.451 9.229
Mo 6.239 0.000 8.423
S 0.000 0.000 3.496
S 4.179 0.000 13.436
```

Formation energy from raw total energies (meV/atom): -247
Magnetic moment (μB/f.u.): 0.00
E (eV per atom): -10.76